{"formula": "RbPmPtO3", "functional": "PBE", "state": "relaxed", "lattice_angstrom": [[-3.722, -1.352, -0.362], [4.094, -5.606, 0.677], [-1.543, 2.228, 7.539]], "species": ["Rb", "Rb", "Pm", "Pm", "Pt", "Pt", "O", "O", "O", "O", "O", "O"], "frac_coords": [[0.359, 0.719, 0.938], [0.641, 0.281, 0.062], [0.650, 0.300, 0.575], [0.350, 0.700, 0.425], [0.009, 0.018, 0.288], [0.991, 0.982, 0.712], [0.849, 0.698, 0.239], [0.829, 0.658, 0.625], [0.507, 0.014, 0.327], [0.171, 0.342, 0.375], [0.493, 0.986, 0.673], [0.151, 0.302, 0.761]], "e_tot_ev_per_fu": -38.01}

{"formula": "PuTlTeCl", "functional": "PBE", "state": "relaxed", "lattice_angstrom": [[5.467, 0.000, 0.000], [2.734, 4.735, 0.000], [2.734, 1.578, 4.464]], "species": ["Cl", "Tl", "Te", "Pu"], "frac_coords": [[0.750, 0.750, 0.750], [0.500, 0.500, 0.500], [0.250, 0.250, 0.250], [0.000, 0.000, 0.000]], "e_tot_ev_per_fu": -24.98, "n_ef_per_ev_atom": 2.89}

{"formula": "Sc3Cd3Au2", "functional": "PBE", "state": "relaxed", "lattice_angstrom": [[-2.930, 1.531, 0.876], [-3.484, -6.719, 0.088], [3.267, 2.652, 6.292]], "species": ["Sc", "Sc", "Sc", "Cd", "Cd", "Cd", "Au", "Au"], "frac_coords": [[0.500, 0.417, 0.417], [0.500, 0.583, 0.000], [0.500, 0.000, 0.583], [0.000, 0.772, 0.772], [0.000, 0.228, 0.000], [0.000, 0.000, 0.228], [0.000, 0.333, 0.667], [0.000, 0.667, 0.333]], "e_tot_ev_per_fu": -32.51, "formation_energy_mev_per_atom": -527, "n_ef_per_ev_atom": 0.74}

Going through the records in order, we get M_tot values of 0.00; 6.00; 0.00 μB per formula unit.